## NbAlBiSb2 (SCAN)

Data for NbAlBiSb2 at its PBEsol-relaxed geometry.

As for the total energy: -1.3947 hartree per atom. For the total magnetization, the calculation gives 2.27 μB per formula unit.

a = 4.9576 Å, b = 5.1852 Å, c = 5.1852 Å
α = 90.00°, β = 90.00°, γ = 90.00°
Closest atoms and distances in Å follow each position.
Positions (direct):
Sb 0.0000 0.0000 0.5000  2 Al 2.59
Sb 0.0000 0.5000 0.0000  2 Al 2.59
Nb 0.5000 0.0000 0.0000  2 Al 2.48
Bi 0.5000 0.5000 0.5000  8 Sb 3.59, 4 Nb 3.67
Al 0.0000 0.0000 0.0000  2 Nb 2.48, 4 Sb 2.59